{
  "formula": "KLi2Se2",
  "functional": "GGA-PBEsol",
  "state": "optimized geometry",
  "volume_a3_per_cell": 196,
  "e_form_raw_kj_per_mol_fu": -479,
  "space_group": "No. 127",
  "cell": [[3.0882, 0.0000, 0.0000], [0.0000, 7.9720, 0.0000], [0.0000, 0.0000, 7.9720]],
  "species": ["K", "K", "Se", "Se", "Se", "Se", "Li", "Li", "Li", "Li"],
  "fractional_positions": [[0.0000, 0.0000, 0.0000], [0.0000, 0.5000, 0.5000], [0.5000, 0.1701, 0.6701], [0.5000, 0.6701, 0.8299], [0.5000, 0.8299, 0.3299], [0.5000, 0.3299, 0.1701], [0.0000, 0.3791, 0.8791], [0.0000, 0.8791, 0.6209], [0.0000, 0.6209, 0.1209], [0.0000, 0.1209, 0.3791]]
}

***

{
  "formula": "K3AsO4",
  "functional": "GGA-PBEsol",
  "state": "optimized geometry",
  "volume_a3_per_cell": 1156,
  "e_form_raw_kj_per_mol_fu": -1308,
  "space_group": "No. 66",
  "cell": [[-0.6830, -2.9910, 7.7796], [6.9897, -4.1704, -1.9197], [9.1251, 12.6810, 5.6765]],
  "species": ["K", "K", "K", "K", "K", "K", "K", "K", "K", "K", "K", "K", "K", "K", "K", "K", "K", "K", "K", "K", "K", "K", "K", "K", "As", "As", "As", "As", "As", "As", "As", "As", "O", "O", "O", "O", "O", "O", "O", "O", "O", "O", "O", "O", "O", "O", "O", "O", "O", "O", "O", "O", "O", "O", "O", "O", "O", "O", "O", "O", "O", "O", "O", "O"],
  "fractional_positions": [[0.0000, 0.0000, 0.1072], [0.0000, 0.5000, 0.3520], [0.0000, 0.0000, 0.8928], [0.5000, 0.0000, 0.3887], [0.7236, 0.2143, 0.0000], [0.5000, 0.0000, 0.8520], [0.2282, 0.2282, 0.2500], [0.7718, 0.7718, 0.2500], [0.0000, 0.5000, 0.6480], [0.7857, 0.2764, 0.5000], [0.5000, 0.0000, 0.6113], [0.5000, 0.5000, 0.8682], [0.0000, 0.5000, 0.8887], [0.5000, 0.5000, 0.6318], [0.5000, 0.0000, 0.1480], [0.0000, 0.0000, 0.3928], [0.2282, 0.2282, 0.7500], [0.0000, 0.5000, 0.1113], [0.5000, 0.5000, 0.3682], [0.7718, 0.7718, 0.7500], [0.2764, 0.7857, 0.0000], [0.5000, 0.5000, 0.1318], [0.0000, 0.0000, 0.6072], [0.2143, 0.7236, 0.5000], [0.2401, 0.2814, 0.0000], [0.7599, 0.7186, 0.0000], [0.2685, 0.7315, 0.7500], [0.2685, 0.7315, 0.2500], [0.7315, 0.2685, 0.2500], [0.7315, 0.2685, 0.7500], [0.7186, 0.7599, 0.5000], [0.2814, 0.2401, 0.5000], [0.2269, 0.5278, 0.7650], [0.7904, 0.1702, 0.1660], [0.2001, 0.3146, 0.5853], [0.5278, 0.2269, 0.7350], [0.4868, 0.2827, 0.5000], [0.1702, 0.7904, 0.6660], [0.2096, 0.8298, 0.8340], [0.2096, 0.8298, 0.1660], [0.7731, 0.4722, 0.2350], [0.0331, 0.2408, 0.0000], [0.5132, 0.7173, 0.5000], [0.8298, 0.2096, 0.6660], [0.7173, 0.5132, 0.0000], [0.7999, 0.6854, 0.4147], [0.9669, 0.7592, 0.0000], [0.6854, 0.7999, 0.0853], [0.3146, 0.2001, 0.9147], [0.8298, 0.2096, 0.3340], [0.2001, 0.3146, 0.4147], [0.2827, 0.4868, 0.0000], [0.2269, 0.5278, 0.2350], [0.3146, 0.2001, 0.0853], [0.5278, 0.2269, 0.2650], [0.7999, 0.6854, 0.5853], [0.7592, 0.9669, 0.5000], [0.7731, 0.4722, 0.7650], [0.1702, 0.7904, 0.3340], [0.4722, 0.7731, 0.7350], [0.2408, 0.0331, 0.5000], [0.7904, 0.1702, 0.8340], [0.4722, 0.7731, 0.2650], [0.6854, 0.7999, 0.9147]]
}

***

{
  "formula": "CrFe3",
  "functional": "GGA-PBEsol",
  "state": "optimized geometry",
  "volume_a3_per_cell": 41,
  "space_group": "No. 12",
  "formation_enthalpy_0k_ev_per_atom": 0.091,
  "cell": [[2.4333, 0.0000, 0.0000], [-1.2167, 4.0240, -0.0056], [0.0000, -0.7252, 4.1517]],
  "species": ["Cr", "Fe", "Fe", "Fe"],
  "fractional_positions": [[0.0000, 0.0000, 0.0000], [0.7534, 0.5069, 0.2606], [0.5000, 0.0000, 0.5000], [0.2466, 0.4931, 0.7394]]
}

***

{
  "formula": "BaNa2Tl2",
  "functional": "GGA-PBEsol",
  "state": "optimized geometry",
  "volume_a3_per_cell": 305,
  "space_group": "No. 127",
  "formation_enthalpy_0k_ev_per_atom": -0.164,
  "relative_energy_mev_per_atom": 16,
  "cell": [[-3.4905, -1.0660, -0.4195], [-0.2747, -2.5436, 8.7490], [-2.8291, 8.3441, 2.3371]],
  "species": ["Na", "Na", "Na", "Na", "Tl", "Tl", "Tl", "Tl", "Ba", "Ba"],
  "fractional_positions": [[0.0000, 0.3831, 0.8831], [0.0000, 0.8831, 0.6169], [0.0000, 0.6169, 0.1169], [0.0000, 0.1169, 0.3831], [0.5000, 0.1822, 0.6822], [0.5000, 0.6822, 0.8178], [0.5000, 0.8178, 0.3178], [0.5000, 0.3178, 0.1822], [0.0000, 0.0000, 0.0000], [0.0000, 0.5000, 0.5000]]
}

***

{
  "formula": "TaFe3",
  "functional": "GGA-PBEsol",
  "state": "optimized geometry",
  "volume_a3_per_cell": 98,
  "space_group": "No. 63",
  "formation_enthalpy_0k_ev_per_atom": -0.090,
  "cell": [[4.1520, 0.0000, 0.0000], [0.0000, 5.0386, 0.0024], [0.0000, -1.8162, 4.6999]],
  "species": ["Fe", "Fe", "Fe", "Fe", "Fe", "Fe", "Ta", "Ta"],
  "fractional_positions": [[0.7500, 0.3612, 0.1276], [0.7500, 0.8745, 0.1255], [0.2500, 0.1276, 0.3612], [0.7500, 0.8724, 0.6388], [0.2500, 0.1255, 0.8745], [0.2500, 0.6388, 0.8724], [0.2500, 0.6351, 0.3649], [0.7500, 0.3649, 0.6351]]
}

***

{
  "formula": "CaZrTl",
  "functional": "GGA-PBEsol",
  "state": "optimized geometry",
  "volume_a3_per_cell": 87,
  "space_group": "No. 216",
  "formation_enthalpy_0k_ev_per_atom": 0.600,
  "cell": [[-4.3493, -2.0863, 1.2381], [-2.6498, -2.4546, -3.4286], [-0.4035, -4.9578, 0.2444]],
  "species": ["Tl", "Ca", "Zr"],
  "fractional_positions": [[0.5000, 0.5000, 0.5000], [0.0000, 0.0000, 0.0000], [0.2500, 0.2500, 0.2500]]
}

***

Repeat the fourth record exactly.
{
  "formula": "BaNa2Tl2",
  "functional": "GGA-PBEsol",
  "state": "optimized geometry",
  "volume_a3_per_cell": 305,
  "space_group": "No. 127",
  "formation_enthalpy_0k_ev_per_atom": -0.164,
  "relative_energy_mev_per_atom": 16,
  "cell": [[-3.4905, -1.0660, -0.4195], [-0.2747, -2.5436, 8.7490], [-2.8291, 8.3441, 2.3371]],
  "species": ["Na", "Na", "Na", "Na", "Tl", "Tl", "Tl", "Tl", "Ba", "Ba"],
  "fractional_positions": [[0.0000, 0.3831, 0.8831], [0.0000, 0.8831, 0.6169], [0.0000, 0.6169, 0.1169], [0.0000, 0.1169, 0.3831], [0.5000, 0.1822, 0.6822], [0.5000, 0.6822, 0.8178], [0.5000, 0.8178, 0.3178], [0.5000, 0.3178, 0.1822], [0.0000, 0.0000, 0.0000], [0.0000, 0.5000, 0.5000]]
}